(1)
A plane-wave DFT calculation with PBE was carried out for a relaxed structure of LiAc2CdAg6.

Cell and atoms, written as POSCAR:
```
LiAc2CdAg6
1.0
7.0841 -0.0366 0.1964
-0.0360 7.0876 0.1946
3.6665 3.6664 5.1893
Ag Ac Li Cd
6 2 1 1
Direct
0.2689 0.7316 0.9998 Ag
0.2164 0.2160 0.0922 Ag
0.7836 0.7840 0.9078 Ag
0.7815 0.7817 0.5248 Ag
0.2185 0.2183 0.4752 Ag
0.7311 0.2684 0.0002 Ag
0.2859 0.7138 0.5002 Ac
0.7141 0.2862 0.4998 Ac
0.5000 0.5000 0.0000 Li
0.0000 0.0000 0.0000 Cd
```

Total magnetization: 0.0 μB/f.u.
Formation enthalpy at 0 K: -4.1 kJ/mol of atoms

(2)
A plane-wave DFT calculation with PBE was carried out for a relaxed structure of Li3Ac2CdAg12.

Cell and atoms, written as POSCAR:
```
Li3Ac2CdAg12
1.0
10.7122 2.3346 1.6559
7.3203 8.1618 1.6559
7.3203 4.2610 7.1554
Ac Ag Li Cd
2 12 3 1
Direct
0.3612 0.3612 0.3612 Ac
0.6388 0.6388 0.6388 Ac
0.8867 0.4196 0.8867 Ag
0.8149 0.4057 0.4057 Ag
0.1851 0.5943 0.5943 Ag
0.1133 0.1133 0.5804 Ag
0.4057 0.4057 0.8149 Ag
0.5943 0.1851 0.5943 Ag
0.8867 0.8867 0.4196 Ag
0.4057 0.8149 0.4057 Ag
0.5943 0.5943 0.1851 Ag
0.1133 0.5804 0.1133 Ag
0.5804 0.1133 0.1133 Ag
0.4196 0.8867 0.8867 Ag
0.0000 0.0000 0.5000 Li
0.5000 0.0000 0.0000 Li
0.0000 0.5000 0.0000 Li
0.0000 0.0000 0.0000 Cd
```

Total magnetization: 0.0 μB/f.u.
Formation enthalpy at 0 K: 0.0 kJ/mol of atoms

(3)
A plane-wave DFT calculation with PBE was carried out for a relaxed structure of LiAcCd2Ag4.

Cell and atoms, written as POSCAR:
```
LiAcCd2Ag4
1.0
4.8169 0.0000 0.0000
2.4085 4.1716 0.0000
2.4085 1.3905 8.8407
Ag Li Cd Ac
4 1 2 1
Direct
0.8699 0.8699 0.3903 Ag
0.5981 0.5981 0.2057 Ag
0.4019 0.4019 0.7943 Ag
0.1301 0.1301 0.6097 Ag
0.5000 0.5000 0.5000 Li
0.2408 0.2408 0.2777 Cd
0.7592 0.7592 0.7223 Cd
0.0000 0.0000 0.0000 Ac
```

Total magnetization: 0.0 μB/f.u.
Formation enthalpy at 0 K: -19.4 kJ/mol of atoms

(4)
A plane-wave DFT calculation with PBE was carried out for a relaxed structure of LiAcCd3Ag.

Cell and atoms, written as POSCAR:
```
LiAcCd3Ag
1.0
-0.0438 5.3469 3.1583
-6.7716 -0.3542 0.5057
4.0112 -3.3189 5.6744
Cd Ac Ag Li
6 2 2 2
Direct
0.7500 0.8618 0.7237 Cd
0.2500 0.1382 0.2763 Cd
0.5000 0.2869 0.0000 Cd
0.0000 0.2869 0.0000 Cd
0.0000 0.7131 0.0000 Cd
0.5000 0.7131 0.0000 Cd
0.7500 0.2873 0.5747 Ac
0.2500 0.7127 0.4253 Ac
0.7500 0.6524 0.3047 Ag
0.2500 0.3476 0.6953 Ag
0.2500 0.9355 0.8710 Li
0.7500 0.0645 0.1290 Li
```

Total magnetization: 0.0 μB/f.u.
Formation enthalpy at 0 K: -15.4 kJ/mol of atoms

(5)
A plane-wave DFT calculation with PBE was carried out for a relaxed structure of LiAcCdAg6.

Cell and atoms, written as POSCAR:
```
LiAcCdAg6
1.0
7.2927 0.0000 0.0000
0.0000 9.3398 0.0000
-3.6463 -4.6699 5.8370
Ac Li Ag Cd
2 2 12 2
Direct
0.2949 0.5449 0.5897 Ac
0.7051 0.4551 0.4103 Ac
0.5000 0.0000 0.0000 Li
0.5000 0.5000 0.0000 Li
0.6840 0.8760 0.7560 Ag
0.9280 0.1240 0.2440 Ag
0.9280 0.6200 0.2440 Ag
0.5740 0.8240 0.1481 Ag
0.4260 0.1760 0.8519 Ag
0.6840 0.3800 0.7560 Ag
0.0055 0.2555 0.0109 Ag
0.3160 0.1240 0.2440 Ag
0.0720 0.3800 0.7560 Ag
0.9945 0.7445 0.9891 Ag
0.3160 0.6200 0.2440 Ag
0.0720 0.8760 0.7560 Ag
0.0000 0.0000 0.5000 Cd
0.5000 0.0000 0.5000 Cd
```

Total magnetization: 0.0 μB/f.u.
Formation enthalpy at 0 K: 4.7 kJ/mol of atoms

(6)
A plane-wave DFT calculation with PBE was carried out for a relaxed structure of Li2AcCd4Ag.

Cell and atoms, written as POSCAR:
```
Li2AcCd4Ag
1.0
-1.9554 -4.0498 1.4697
2.2066 -4.1119 -0.7794
4.7348 -1.8515 8.8128
Li Ac Cd Ag
2 1 4 1
Direct
0.2299 0.2299 0.3102 Li
0.7701 0.7701 0.6898 Li
0.0000 0.0000 0.0000 Ac
0.1284 0.1284 0.6149 Cd
0.4032 0.4032 0.7904 Cd
0.5968 0.5968 0.2096 Cd
0.8716 0.8716 0.3851 Cd
0.5000 0.5000 0.5000 Ag
```

Total magnetization: 0.0 μB/f.u.
Formation enthalpy at 0 K: -19.6 kJ/mol of atoms

(7)
A plane-wave DFT calculation with PBE was carried out for a relaxed structure of Li4AcCd2Ag.

Cell and atoms, written as POSCAR:
```
Li4AcCd2Ag
1.0
-0.8297 -0.3599 4.6042
1.8299 -3.5644 2.4421
7.8441 3.7457 4.0972
Ac Ag Li Cd
1 1 4 2
Direct
0.0000 0.0000 0.0000 Ac
0.5000 0.5000 0.5000 Ag
0.8637 0.8637 0.4088 Li
0.4089 0.4089 0.7732 Li
0.5911 0.5911 0.2268 Li
0.1363 0.1363 0.5912 Li
0.2413 0.2413 0.2761 Cd
0.7587 0.7587 0.7239 Cd
```

Total magnetization: 0.0 μB/f.u.
Formation enthalpy at 0 K: -13.4 kJ/mol of atoms

(8)
A plane-wave DFT calculation with PBE was carried out for a relaxed structure of Li2AcCd2Ag2.

Cell and atoms, written as POSCAR:
```
Li2AcCd2Ag2
1.0
-0.6917 -3.5697 3.1850
3.9461 0.0180 -2.7909
1.5291 5.3669 6.3473
Ag Cd Ac Li
2 2 1 2
Direct
0.2541 0.5083 0.7608 Ag
0.7459 0.4917 0.2392 Ag
0.5655 0.1310 0.6939 Cd
0.4345 0.8690 0.3061 Cd
0.0000 0.0000 0.0000 Ac
0.1437 0.2875 0.4318 Li
0.8563 0.7125 0.5682 Li
```

Total magnetization: 0.0 μB/f.u.
Formation enthalpy at 0 K: -23.6 kJ/mol of atoms

(9)
A plane-wave DFT calculation with PBE was carried out for a relaxed structure of Ac2Mg6CdAg.

Cell and atoms, written as POSCAR:
```
Ac2Mg6CdAg
1.0
-0.6902 -6.3979 3.9560
6.8267 0.6723 2.2873
1.4053 -0.4004 7.4231
Mg Cd Ag Ac
6 1 1 2
Direct
0.1727 0.2525 0.4917 Mg
0.2538 0.7453 0.0822 Mg
0.7462 0.2547 0.9178 Mg
0.2541 0.1729 0.0814 Mg
0.7459 0.8271 0.9186 Mg
0.8273 0.7475 0.5083 Mg
0.0000 0.0000 0.0000 Cd
0.5000 0.5000 0.0000 Ag
0.2849 0.7119 0.5745 Ac
0.7151 0.2881 0.4255 Ac
```

Total magnetization: 0.0 μB/f.u.
Formation enthalpy at 0 K: -4.8 kJ/mol of atoms

(10)
A plane-wave DFT calculation with PBE was carried out for a relaxed structure of AcMg2CdAg2.

Cell and atoms, written as POSCAR:
```
AcMg2CdAg2
1.0
-0.4080 -3.7263 3.7443
1.7982 -3.6291 -3.4158
4.8761 4.8081 1.5678
Mg Ag Cd Ac
2 2 1 1
Direct
0.7500 0.2500 0.5000 Mg
0.2500 0.7500 0.5000 Mg
0.2268 0.2268 0.4536 Ag
0.7732 0.7732 0.5464 Ag
0.0000 0.0000 0.0000 Cd
0.5000 0.5000 0.0000 Ac
```

Total magnetization: 0.0 μB/f.u.
Formation enthalpy at 0 K: -2.0 kJ/mol of atoms

(11)
A plane-wave DFT calculation with PBE was carried out for a relaxed structure of Ac2Mg12CdAg3.

Cell and atoms, written as POSCAR:
```
Ac2Mg12CdAg3
1.0
-3.2649 0.6306 -7.9033
-7.2129 -4.6127 -0.4650
-6.7555 5.2786 0.1353
Mg Ac Ag Cd
12 2 3 1
Direct
0.1402 0.6318 0.1402 Mg
0.8598 0.8598 0.3682 Mg
0.6318 0.1402 0.1402 Mg
0.3682 0.8598 0.8598 Mg
0.8589 0.2895 0.2895 Mg
0.2895 0.8589 0.2895 Mg
0.7105 0.7105 0.1411 Mg
0.1411 0.7105 0.7105 Mg
0.2895 0.2895 0.8589 Mg
0.7105 0.1411 0.7105 Mg
0.1402 0.1402 0.6318 Mg
0.8598 0.3682 0.8598 Mg
0.5920 0.5920 0.5920 Ac
0.4080 0.4080 0.4080 Ac
0.5000 0.0000 0.0000 Ag
0.0000 0.0000 0.5000 Ag
0.0000 0.5000 0.0000 Ag
0.0000 0.0000 0.0000 Cd
```

Total magnetization: 0.0 μB/f.u.
Formation enthalpy at 0 K: 19.7 kJ/mol of atoms

(12)
A plane-wave DFT calculation with PBE was carried out for a relaxed structure of AcMgCdAg.

Cell and atoms, written as POSCAR:
```
AcMgCdAg
1.0
-4.5448 2.1737 -0.4517
0.6418 -3.8950 3.1179
2.2289 5.0201 1.7319
Ag Cd Ac Mg
1 1 1 1
Direct
0.4028 0.8056 0.8502 Ag
0.8410 0.6819 0.1647 Cd
0.6174 0.2348 0.4950 Ac
0.1052 0.2103 0.9574 Mg
```

Total magnetization: 0.0 μB/f.u.
Formation enthalpy at 0 K: -23.6 kJ/mol of atoms

(13)
A plane-wave DFT calculation with PBE was carried out for a relaxed structure of AcMgCdAg3.

Cell and atoms, written as POSCAR:
```
AcMgCdAg3
1.0
-2.6772 -3.3876 5.0984
5.4623 0.5651 3.2437
-4.9833 5.6497 1.1372
Cd Ac Ag Mg
2 2 6 2
Direct
0.2500 0.3516 0.7032 Cd
0.7500 0.6484 0.2968 Cd
0.7500 0.3130 0.6261 Ac
0.2500 0.6870 0.3739 Ac
0.0000 0.7181 0.0000 Ag
0.2500 0.1377 0.2754 Ag
0.5000 0.2819 0.0000 Ag
0.0000 0.2819 0.0000 Ag
0.5000 0.7181 0.0000 Ag
0.7500 0.8623 0.7246 Ag
0.2500 0.9247 0.8493 Mg
0.7500 0.0753 0.1507 Mg
```

Total magnetization: 0.0 μB/f.u.
Formation enthalpy at 0 K: -7.3 kJ/mol of atoms

(14)
A plane-wave DFT calculation with PBE was carried out for a relaxed structure of Ac2MgCd4Ag3.

Cell and atoms, written as POSCAR:
```
Ac2MgCd4Ag3
1.0
4.4883 0.0000 0.0000
0.0000 4.4883 0.0000
0.0000 0.0000 12.8886
Cd Ag Ac Mg
4 3 2 1
Direct
0.5000 0.5000 0.0000 Cd
0.0000 0.0000 0.0000 Cd
0.0000 0.5000 0.3595 Cd
0.5000 0.0000 0.6405 Cd
0.0000 0.5000 0.1418 Ag
0.0000 0.0000 0.5000 Ag
0.5000 0.0000 0.8582 Ag
0.0000 0.5000 0.7586 Ac
0.5000 0.0000 0.2414 Ac
0.5000 0.5000 0.5000 Mg
```

Total magnetization: 0.0 μB/f.u.
Formation enthalpy at 0 K: -24.1 kJ/mol of atoms

(15)
A plane-wave DFT calculation with PBE was carried out for a relaxed structure of AcMgCdAg6.

Cell and atoms, written as POSCAR:
```
AcMgCdAg6
1.0
-4.1104 4.9491 -4.0698
-6.6992 0.3901 7.2404
8.1901 1.5748 0.7631
Ag Mg Cd Ac
12 2 2 2
Direct
0.6860 0.3772 0.7467 Ag
0.4268 0.1768 0.8536 Ag
0.5732 0.8232 0.1464 Ag
0.3140 0.1305 0.2533 Ag
0.6860 0.8695 0.7467 Ag
0.0607 0.8695 0.7467 Ag
0.3140 0.6228 0.2533 Ag
0.9393 0.1305 0.2533 Ag
0.9811 0.2311 0.9622 Ag
0.9393 0.6228 0.2533 Ag
0.0607 0.3772 0.7467 Ag
0.0189 0.7689 0.0378 Ag
0.5000 0.0000 0.0000 Mg
0.5000 0.5000 0.0000 Mg
0.0000 0.0000 0.5000 Cd
0.5000 0.0000 0.5000 Cd
0.2828 0.5328 0.5656 Ac
0.7172 0.4672 0.4344 Ac
```

Total magnetization: 0.0 μB/f.u.
Formation enthalpy at 0 K: 7.1 kJ/mol of atoms

(16)
A plane-wave DFT calculation with PBE was carried out for a relaxed structure of AcMg2Cd2Ag.

Cell and atoms, written as POSCAR:
```
AcMg2Cd2Ag
1.0
5.4034 0.0000 0.0000
0.0000 5.4034 0.0000
-2.7017 -2.7017 6.0866
Mg Ac Ag Cd
2 1 1 2
Direct
0.2500 0.7500 0.5000 Mg
0.7500 0.2500 0.5000 Mg
0.5000 0.5000 0.0000 Ac
0.0000 0.0000 0.0000 Ag
0.2186 0.2186 0.4373 Cd
0.7814 0.7814 0.5627 Cd
```

Total magnetization: 0.0 μB/f.u.
Formation enthalpy at 0 K: 11.4 kJ/mol of atoms

(17)
A plane-wave DFT calculation with PBE was carried out for a relaxed structure of Ac2MgCd3Ag4.

Cell and atoms, written as POSCAR:
```
Ac2MgCd3Ag4
1.0
-2.7655 -1.4664 -3.2377
-0.7226 -3.7846 2.3313
-9.7547 5.4692 5.8552
Ag Cd Mg Ac
4 3 1 2
Direct
0.5000 0.0000 0.6418 Ag
0.0000 0.0000 0.0000 Ag
0.5000 0.5000 0.0000 Ag
0.0000 0.5000 0.3582 Ag
0.5000 0.0000 0.8645 Cd
0.0000 0.0000 0.5000 Cd
0.0000 0.5000 0.1355 Cd
0.5000 0.5000 0.5000 Mg
0.5000 0.0000 0.2472 Ac
0.0000 0.5000 0.7528 Ac
```

Total magnetization: 0.0 μB/f.u.
Formation enthalpy at 0 K: -21.9 kJ/mol of atoms

(18)
A plane-wave DFT calculation with PBE was carried out for a relaxed structure of AcMgCd2Ag4.

Cell and atoms, written as POSCAR:
```
AcMgCd2Ag4
1.0
-1.1544 -2.9810 3.6168
-3.3031 -3.4537 -0.6797
5.0049 -7.8370 -1.6409
Ag Mg Cd Ac
4 1 2 1
Direct
0.1304 0.1304 0.6087 Ag
0.6005 0.6005 0.1985 Ag
0.8696 0.8696 0.3913 Ag
0.3995 0.3995 0.8015 Ag
0.5000 0.5000 0.5000 Mg
0.7583 0.7583 0.7251 Cd
0.2417 0.2417 0.2749 Cd
0.0000 0.0000 0.0000 Ac
```

Total magnetization: 0.0 μB/f.u.
Formation enthalpy at 0 K: -17.3 kJ/mol of atoms

(19)
A plane-wave DFT calculation with PBE was carried out for a relaxed structure of AcMgCd4Ag2.

Cell and atoms, written as POSCAR:
```
AcMgCd4Ag2
1.0
-1.8443 3.6771 2.4710
-0.7280 -0.4093 4.7256
8.1021 4.4595 4.0710
Cd Ag Ac Mg
4 2 1 1
Direct
0.1280 0.1280 0.6161 Cd
0.3996 0.3996 0.8012 Cd
0.6004 0.6004 0.1988 Cd
0.8720 0.8720 0.3839 Cd
0.2351 0.2351 0.2946 Ag
0.7649 0.7649 0.7054 Ag
0.0000 0.0000 0.0000 Ac
0.5000 0.5000 0.5000 Mg
```

Total magnetization: 0.0 μB/f.u.
Formation enthalpy at 0 K: -13.5 kJ/mol of atoms

(20)
A plane-wave DFT calculation with PBE was carried out for a relaxed structure of Ac3MgCd2Ag6.

Cell and atoms, written as POSCAR:
```
Ac3MgCd2Ag6
1.0
6.3016 0.0000 0.0000
-3.1508 5.4573 0.0000
0.0000 0.0000 9.2591
Cd Ag Mg Ac
2 6 1 3
Direct
0.6667 0.3333 0.0021 Cd
0.3333 0.6667 0.9979 Cd
0.8190 0.1810 0.7235 Ag
0.8190 0.6381 0.7235 Ag
0.1810 0.8190 0.2765 Ag
0.1810 0.3619 0.2765 Ag
0.3619 0.1810 0.7235 Ag
0.6381 0.8190 0.2765 Ag
0.0000 0.0000 0.5000 Mg
0.3333 0.6667 0.6096 Ac
0.6667 0.3333 0.3904 Ac
0.0000 0.0000 0.0000 Ac
```

Total magnetization: 0.0 μB/f.u.
Formation enthalpy at 0 K: -15.7 kJ/mol of atoms

(21)
A plane-wave DFT calculation with PBE was carried out for a relaxed structure of AcMgCd3Ag.

Cell and atoms, written as POSCAR:
```
AcMgCd3Ag
1.0
-2.5513 -3.6298 -4.4403
-3.5902 -3.5324 4.9506
-3.5960 6.3432 -3.1192
Cd Ag Mg Ac
6 2 2 2
Direct
0.5000 0.7004 0.0000 Cd
0.0000 0.7004 0.0000 Cd
0.5000 0.2996 0.0000 Cd
0.0000 0.2996 0.0000 Cd
0.7500 0.8568 0.7135 Cd
0.2500 0.1432 0.2865 Cd
0.2500 0.3480 0.6961 Ag
0.7500 0.6520 0.3039 Ag
0.2500 0.9324 0.8649 Mg
0.7500 0.0676 0.1351 Mg
0.2500 0.7029 0.4057 Ac
0.7500 0.2971 0.5943 Ac
```

Total magnetization: 0.0 μB/f.u.
Formation enthalpy at 0 K: -7.0 kJ/mol of atoms

(22)
A plane-wave DFT calculation with PBE was carried out for a relaxed structure of AcMg2Cd4Ag.

Cell and atoms, written as POSCAR:
```
AcMg2Cd4Ag
1.0
4.8444 0.0000 0.0000
2.4222 4.1954 0.0000
2.4222 1.3985 9.7205
Cd Ag Mg Ac
4 1 2 1
Direct
0.1312 0.1312 0.6063 Cd
0.3999 0.3999 0.8002 Cd
0.8688 0.8688 0.3937 Cd
0.6001 0.6001 0.1998 Cd
0.5000 0.5000 0.5000 Ag
0.2404 0.2404 0.2787 Mg
0.7596 0.7596 0.7213 Mg
0.0000 0.0000 0.0000 Ac
```

Total magnetization: 0.0 μB/f.u.
Formation enthalpy at 0 K: -16.2 kJ/mol of atoms